i) TbNd3Mg | PBE | relaxed

The crystal system is monoclinic.

a = 10.729 Å, b = 10.729 Å, c = 9.060 Å
α = 108.92°, β = 108.92°, γ = 19.63°
Element x y z (fractional)
1 Tb 0.133 0.133 0.180
2 Tb 0.867 0.867 0.820
3 Nd 0.193 0.193 0.855
4 Nd 0.305 0.305 0.456
5 Nd 0.470 0.470 0.179
6 Nd 0.530 0.530 0.821
7 Nd 0.695 0.695 0.544
8 Nd 0.807 0.807 0.145
9 Mg 0.067 0.067 0.508
10 Mg 0.933 0.933 0.492

=====

ii) TbNd3Mg | PBE | relaxed

The crystal system is orthorhombic.

a = 3.865 Å, b = 10.701 Å, c = 8.199 Å
α = 90.00°, β = 90.00°, γ = 90.00°
Element x y z (fractional)
1 Tb 0.250 0.250 0.057
2 Tb 0.750 0.750 0.943
3 Nd 0.250 0.250 0.444
4 Nd 0.250 0.502 0.763
5 Nd 0.250 0.998 0.763
6 Nd 0.750 0.002 0.237
7 Nd 0.750 0.498 0.237
8 Nd 0.750 0.750 0.556
9 Mg 0.250 0.750 0.244
10 Mg 0.750 0.250 0.756

=====

The structure with the least stability is ii).